This record from Alexandria via LeMat-Bulk describes a geometry-optimized Mn2PbWO8 structure. The functional is GGA+U.

Lattice parameters (Å, degrees): 6.607 7.117 6.296 90.00 90.00 90.00
Space group Cmmm (No. 65)
Unique sites:
Mn: 0.000 0.000 0.245 x4
Pb: 0.000 0.500 0.500 x2
W: 0.000 0.500 0.000 x2
O: 0.000 0.310 0.221 x8
O: 0.179 0.000 0.500 x4
O: 0.197 0.000 0.000 x4

Summary:
- calculated total energy (eV/atom) = -6.93
- volume (Å³ per cell) = 296.0
- mass density (g cm⁻³) = 7.1
- M_tot (μB/atom) = 0.67